First-principles (PBE+U) data for RbNi3F after structural relaxation, as listed in the Alexandria database.

N(E_F)	5.0	states/eV/cell
offset from the most stable computed form	1135.2	meV/atom
theoretical density	2.734	g/cm3
magnetization	0.7950	μB/atom
crystal system	cubic

Structure (CIF):
```
data_RbNi3F
_chemical_formula_sum 'Rb1 Ni3 F1'
_symmetry_space_group_name_H-M 'P m -3 m'
_symmetry_Int_Tables_number 221
_symmetry_space_group_name_Hall '-P 4 2 3'
_cell_length_a 5.544
_cell_length_b 5.544
_cell_length_c 5.544
_cell_angle_alpha 90.00
_cell_angle_beta 90.00
_cell_angle_gamma 90.00
loop_
_atom_site_label
_atom_site_fract_x
_atom_site_fract_y
_atom_site_fract_z
_atom_site_occupancy
Rb1 0.000 0.000 0.000 1
Ni1 0.000 0.000 0.500 1
F1 0.500 0.500 0.500 1
```